1.
VASP calculation (PBE) on Ta2GeHRh after structural relaxation.

extended XYZ file:
```
5
Lattice="-2.0448 2.2134 -2.7330 -1.6980 -3.3899 -1.4750 -3.0812 0.3995 2.6288" Properties=species:S:1:pos:R:3 pbc="T T T"
Ta -1.0224 1.1067 -1.3665
Ta -0.8490 -1.6949 -0.7375
Rh -1.5406 0.1997 1.3144
H 0.0000 0.0000 0.0000
Ge -3.4120 -0.3885 -0.7896
```

Output
DOS(E_F): 2.348 states/eV/cell
total moment: 0.0 μB per cell
E_tot: -8.00 eV/atom

***

2.
VASP calculation (PBE) on TbGeHRh after structural relaxation.

extended XYZ file:
```
8
Lattice="-0.5397 -2.8499 2.8653 -0.8657 -2.7421 -2.8904 7.0945 -1.7810 -0.4352" Properties=species:S:1:pos:R:3 pbc="T T T"
Ge 4.6427 -2.6582 1.1313
Ge 1.7492 -1.9188 -1.5790
H 0.0000 0.0000 0.0000
H -0.7027 -2.7960 -0.0126
Tb 5.5483 -2.8725 -1.8121
Tb 0.8436 -1.7044 1.3643
Rh 3.5473 -0.8905 -0.2176
Rh 2.8446 -3.6865 -0.2302
```

Output
DOS(E_F): 2.845 states/eV/cell
total moment: 0.0 μB per cell
E_tot: -5.84 eV/atom

***

3.
VASP calculation (PBE) on TbGeHRh2 after structural relaxation.

extended XYZ file:
```
10
Lattice="3.7388 0.0000 0.0000 -1.8694 5.4421 0.0000 0.0000 0.0000 7.3425" Properties=species:S:1:pos:R:3 pbc="T T T"
Ge 0.0000 2.9251 1.8356
Ge 1.8694 2.5170 5.5069
Rh 0.0000 1.6665 6.9537
Rh 0.0000 1.6665 4.0600
Rh 1.8694 3.7755 3.2824
Rh 1.8694 3.7755 0.3888
H 0.0000 0.0000 0.0000
H 0.0000 0.0000 3.6712
Tb 0.0000 4.9173 5.5069
Tb 1.8694 0.5248 1.8356
```

Output
DOS(E_F): 5.443 states/eV/cell
total moment: 0.0 μB per cell
E_tot: -6.22 eV/atom

***

What is the formula in the first record? Ta2GeHRh

***

The highest DOS(E_F) belongs to which entry? TbGeHRh2